Computed, not measured: a relaxed La2PmAu6 crystal at the PBE level of DFT.

a = 3.662 Å, b = 8.283 Å, c = 8.283 Å
α = 120.00°, β = 90.00°, γ = 90.00°
Fractional positions:
Pm1 0.000 0.000 0.000
Au1 0.500 0.000 0.668
Au2 0.500 0.332 0.000
Au3 0.500 0.000 0.332
Au4 0.500 0.668 0.668
Au5 0.500 0.332 0.332
Au6 0.500 0.668 0.000
La1 0.000 0.333 0.667
La2 0.000 0.667 0.333

Symmetry: P6/mmm, No. 191
Energy of formation from the pure elements, eV per atom: -0.7897


Computed, not measured: a relaxed ZnRuN2 crystal at the PBE level of DFT.

a = 5.373 Å, b = 5.700 Å, c = 6.438 Å
α = 90.00°, β = 90.00°, γ = 90.00°
Fractional positions:
Ru1 0.500 0.439 0.630
Ru2 0.000 0.561 0.370
Ru3 0.000 0.061 0.130
Ru4 0.500 0.939 0.870
N1 0.861 0.917 0.878
N2 0.861 0.417 0.622
N3 0.886 0.886 0.369
N4 0.386 0.114 0.631
N5 0.386 0.614 0.869
N6 0.361 0.083 0.122
N7 0.886 0.386 0.131
N8 0.361 0.583 0.378
Zn1 0.503 0.418 0.118
Zn2 0.003 0.582 0.882
Zn3 0.003 0.082 0.618
Zn4 0.503 0.918 0.382

Symmetry: Pna2_1, No. 33
Uncorrected formation energy, eV/atom: 0.32


Computed, not measured: a relaxed Si2HgCl2 crystal at the PBE level of DFT.

a = 6.695 Å, b = 6.695 Å, c = 4.831 Å
α = 90.00°, β = 90.00°, γ = 90.00°
Fractional positions:
Si1 0.631 0.131 0.000
Si2 0.369 0.869 0.000
Si3 0.869 0.631 0.000
Si4 0.131 0.369 0.000
Cl1 0.172 0.328 0.500
Cl2 0.672 0.172 0.500
Cl3 0.328 0.828 0.500
Cl4 0.828 0.672 0.500
Hg1 0.500 0.500 0.000
Hg2 0.000 0.000 0.000

Symmetry: P4/mbm, No. 127
Uncorrected formation energy, eV/atom: -0.16
Relative energy among the computed polymorphs, meV per atom: 0


Computed, not measured: a relaxed Hf4RhS crystal at the PBE level of DFT.

a = 3.284 Å, b = 6.060 Å, c = 12.107 Å
α = 92.66°, β = 90.00°, γ = 90.00°
Fractional positions:
Rh1 0.000 0.000 0.500
Rh2 0.500 0.500 0.000
S1 0.000 0.000 0.000
S2 0.500 0.500 0.500
Hf1 0.000 0.678 0.352
Hf2 0.000 0.333 0.152
Hf3 0.500 0.178 0.852
Hf4 0.500 0.167 0.348
Hf5 0.500 0.822 0.148
Hf6 0.500 0.833 0.652
Hf7 0.000 0.322 0.648
Hf8 0.000 0.667 0.848

Symmetry: C2/m, No. 12
Uncorrected formation energy, eV/atom: -0.56


Computed, not measured: a relaxed Sr2AgPt crystal at the PBE level of DFT.

a = 3.771 Å, b = 3.771 Å, c = 7.746 Å
α = 90.00°, β = 90.00°, γ = 90.02°
Fractional positions:
Pt1 0.500 0.500 0.750
Ag1 0.500 0.500 0.250
Sr1 0.000 0.000 0.522
Sr2 0.000 0.000 0.978

Symmetry: P4/mmm, No. 123
Relative energy among the computed polymorphs, meV per atom: 61
Energy of formation from the pure elements, eV per atom: -0.5387


Computed, not measured: a relaxed La2YErTm crystal at the PBE level of DFT.

a = 11.355 Å, b = 6.786 Å, c = 5.797 Å
α = 125.82°, β = 90.00°, γ = 90.00°
Fractional positions:
La1 0.000 0.243 0.000
La2 0.500 0.243 0.000
La3 0.000 0.757 0.000
La4 0.500 0.757 0.000
Y1 0.750 0.314 0.628
Y2 0.250 0.686 0.372
Er1 0.750 0.983 0.967
Er2 0.250 0.017 0.033
Tm1 0.750 0.655 0.310
Tm2 0.250 0.345 0.690

Symmetry: Cmcm, No. 63
Energy of formation from the pure elements, eV per atom: 0.3314


Computed, not measured: a relaxed Pm2DyY2Ho2 crystal at the PBE level of DFT.

a = 5.705 Å, b = 5.705 Å, c = 8.790 Å
α = 71.06°, β = 71.06°, γ = 60.00°
Fractional positions:
Y1 0.284 0.284 0.149
Y2 0.716 0.716 0.851
Ho1 0.574 0.574 0.278
Ho2 0.426 0.426 0.722
Pm1 0.861 0.861 0.417
Pm2 0.139 0.139 0.583
Dy1 0.000 0.000 0.000

Symmetry: R-3m, No. 166
Energy of formation from the pure elements, eV per atom: 0.1396


Computed, not measured: a relaxed Ba2InSn2 crystal at the PBE level of DFT.

a = 5.821 Å, b = 5.821 Å, c = 7.780 Å
α = 68.03°, β = 68.03°, γ = 90.00°
Fractional positions:
Sn1 0.398 0.398 0.204
Sn2 0.602 0.602 0.796
Ba1 0.250 0.750 0.500
Ba2 0.750 0.250 0.500
In1 0.000 0.000 0.000

Symmetry: I4/mmm, No. 139
Energy of formation from the pure elements, eV per atom: -0.1124


Computed, not measured: a relaxed Ca2TlH crystal at the PBE level of DFT.

a = 5.258 Å, b = 5.258 Å, c = 5.258 Å
α = 60.00°, β = 60.00°, γ = 60.00°
Fractional positions:
Tl1 0.500 0.500 0.500
H1 0.000 0.000 0.000
Ca1 0.750 0.750 0.750
Ca2 0.250 0.250 0.250

Symmetry: Fm-3m, No. 225
Relative energy among the computed polymorphs, meV per atom: 368


Computed, not measured: a relaxed AlIn2GaBr6 crystal at the PBE level of DFT.

a = 6.374 Å, b = 7.618 Å, c = 7.618 Å
α = 90.00°, β = 90.00°, γ = 90.00°
Fractional positions:
Br1 0.716 0.224 0.776
Br2 0.716 0.224 0.224
Br3 0.716 0.776 0.776
Br4 0.716 0.776 0.224
Br5 0.252 0.000 0.000
Br6 0.134 0.500 0.500
In1 0.015 0.000 0.500
In2 0.015 0.500 0.000
Al1 0.619 0.000 0.000
Ga1 0.549 0.500 0.500

Symmetry: P4mm, No. 99
Uncorrected formation energy, eV/atom: -0.77


Computed, not measured: a relaxed ReWIN2 crystal at the PBE level of DFT.

a = 3.914 Å, b = 3.914 Å, c = 5.830 Å
α = 90.00°, β = 90.00°, γ = 90.00°
Fractional positions:
Re1 0.000 0.000 0.000
W1 0.500 0.500 0.500
I1 0.000 0.000 0.500
N1 0.500 0.000 0.000
N2 0.000 0.500 0.000

Symmetry: P4/mmm, No. 123
Uncorrected formation energy, eV/atom: 1.59
Relative energy among the computed polymorphs, meV per atom: 93


Computed, not measured: a relaxed TaAs2Cl crystal at the PBE level of DFT.

a = 3.315 Å, b = 4.280 Å, c = 5.013 Å
α = 90.00°, β = 90.00°, γ = 90.00°
Fractional positions:
Cl1 0.500 0.000 0.500
As1 0.000 0.000 0.000
As2 0.500 0.500 0.000
Ta1 0.000 0.500 0.500

Symmetry: Pmmm, No. 47
Uncorrected formation energy, eV/atom: 0.40
Relative energy among the computed polymorphs, meV per atom: 760


Computed, not measured: a relaxed Pr2SmGe crystal at the PBE level of DFT.

a = 4.108 Å, b = 4.108 Å, c = 6.966 Å
α = 90.00°, β = 90.00°, γ = 90.00°
Fractional positions:
Ge1 0.500 0.500 0.500
Sm1 0.500 0.500 0.000
Pr1 0.000 0.000 0.285
Pr2 0.000 0.000 0.715

Symmetry: P4/mmm, No. 123
Relative energy among the computed polymorphs, meV per atom: 40
Energy of formation from the pure elements, eV per atom: -0.2972


Computed, not measured: a relaxed KNaAsAu2 crystal at the PBE level of DFT.

a = 5.061 Å, b = 4.762 Å, c = 6.322 Å
α = 112.12°, β = 113.59°, γ = 90.00°
Fractional positions:
Au1 0.048 0.048 0.095
Au2 0.713 0.213 0.426
K1 0.447 0.447 0.894
Na1 0.198 0.698 0.396
As1 0.807 0.807 0.614

Symmetry: Imm2, No. 44
Energy of formation from the pure elements, eV per atom: -0.2808


Computed, not measured: a relaxed RbNa2AgPb crystal at the PBE level of DFT.

a = 6.041 Å, b = 6.041 Å, c = 5.534 Å
α = 90.00°, β = 90.00°, γ = 90.00°
Fractional positions:
Na1 0.000 0.500 0.000
Na2 0.500 0.000 0.000
Ag1 0.000 0.000 0.500
Rb1 0.500 0.500 0.500
Pb1 0.000 0.000 0.000

Symmetry: P4/mmm, No. 123
Relative energy among the computed polymorphs, meV per atom: 15
Energy of formation from the pure elements, eV per atom: 0.0142


Computed, not measured: a relaxed LiLuTlCd crystal at the PBE level of DFT.

a = 5.043 Å, b = 5.043 Å, c = 5.043 Å
α = 60.00°, β = 60.00°, γ = 60.00°
Fractional positions:
Li1 0.000 0.000 0.000
Tl1 0.250 0.250 0.250
Lu1 0.500 0.500 0.500
Cd1 0.750 0.750 0.750

Symmetry: F-43m, No. 216
Energy of formation from the pure elements, eV per atom: -0.2674


Computed, not measured: a relaxed RbGePb3 crystal at the PBE level of DFT.

a = 5.758 Å, b = 5.758 Å, c = 5.758 Å
α = 90.00°, β = 90.00°, γ = 90.00°
Fractional positions:
Pb1 0.000 0.500 0.000
Pb2 0.500 0.000 0.000
Pb3 0.000 0.000 0.500
Ge1 0.000 0.000 0.000
Rb1 0.500 0.500 0.500

Symmetry: Pm-3m, No. 221
Relative energy among the computed polymorphs, meV per atom: 0
Energy of formation from the pure elements, eV per atom: 0.2226


Computed, not measured: a relaxed Na3Tm3IrO8 crystal at the PBE level of DFT.

a = 6.588 Å, b = 6.589 Å, c = 6.732 Å
α = 119.29°, β = 90.00°, γ = 120.00°
Fractional positions:
O1 0.244 0.022 0.300
O2 0.756 0.978 0.700
O3 0.264 0.529 0.293
O4 0.778 0.556 0.300
O5 0.222 0.978 0.700
O6 0.222 0.444 0.700
O7 0.778 0.022 0.300
O8 0.736 0.471 0.707
Tm1 0.500 0.000 0.500
Tm2 0.000 0.500 0.500
Tm3 0.500 0.500 0.500
Na1 0.500 0.500 0.000
Na2 0.000 0.000 0.000
Na3 0.000 0.500 0.000
Ir1 0.000 0.000 0.500

Symmetry: R-3m, No. 166
Uncorrected formation energy, eV/atom: -2.42


Computed, not measured: a relaxed YBe2Cu crystal at the PBE level of DFT.

a = 3.828 Å, b = 3.828 Å, c = 5.352 Å
α = 68.52°, β = 68.52°, γ = 60.06°
Fractional positions:
Y1 0.750 0.750 0.752
Be1 0.253 0.253 0.241
Be2 0.943 0.943 0.171
Cu1 0.555 0.555 0.335

Symmetry: Cm, No. 8
Relative energy among the computed polymorphs, meV per atom: 12
Energy of formation from the pure elements, eV per atom: -0.1075


Computed, not measured: a relaxed Ca3Ce2ErP6 crystal at the PBE level of DFT.

a = 7.120 Å, b = 7.120 Å, c = 7.054 Å
α = 99.68°, β = 99.68°, γ = 120.03°
Fractional positions:
P1 0.589 0.922 0.767
P2 0.411 0.078 0.233
P3 0.255 0.255 0.767
P4 0.922 0.589 0.767
P5 0.078 0.411 0.233
P6 0.745 0.745 0.233
Ca1 0.500 0.500 0.500
Ca2 0.834 0.166 0.500
Ca3 0.166 0.834 0.500
Ce1 0.667 0.333 0.000
Ce2 0.333 0.667 0.000
Er1 0.000 0.000 0.000

Symmetry: C2/m, No. 12
Energy of formation from the pure elements, eV per atom: -1.2694


Computed, not measured: a relaxed NiBSe crystal at the PBE level of DFT.

a = 3.106 Å, b = 3.106 Å, c = 8.769 Å
α = 90.00°, β = 90.00°, γ = 120.00°
Fractional positions:
Se1 0.111 0.222 0.166
Se2 0.111 0.222 0.834
B1 0.445 0.889 0.500
B2 0.444 0.889 0.000
Ni1 0.778 0.556 0.632
Ni2 0.778 0.556 0.368

Symmetry: P-6m2, No. 187
Uncorrected formation energy, eV/atom: 0.40


Computed, not measured: a relaxed NaLi2CuI4 crystal at the PBE level of DFT.

a = 7.845 Å, b = 7.845 Å, c = 7.845 Å
α = 130.02°, β = 130.02°, γ = 73.37°
Fractional positions:
I1 0.648 0.648 0.555
I2 0.093 0.093 0.445
I3 0.352 0.907 0.000
I4 0.907 0.352 0.000
Li1 0.750 0.250 0.500
Li2 0.250 0.750 0.500
Na1 0.500 0.500 0.000
Cu1 0.000 0.000 0.000

Symmetry: I-42m, No. 121
Uncorrected formation energy, eV/atom: -0.93


Computed, not measured: a relaxed Tb2ErSc crystal at the PBE level of DFT.

a = 3.503 Å, b = 3.503 Å, c = 9.661 Å
α = 90.00°, β = 90.00°, γ = 90.00°
Fractional positions:
Sc1 0.500 0.500 0.000
Er1 0.500 0.500 0.500
Tb1 0.000 0.000 0.240
Tb2 0.000 0.000 0.760

Symmetry: P4/mmm, No. 123
Relative energy among the computed polymorphs, meV per atom: 5
Energy of formation from the pure elements, eV per atom: 0.0387


Computed, not measured: a relaxed SrCaP2 crystal at the PBE level of DFT.

a = 5.064 Å, b = 5.064 Å, c = 5.064 Å
α = 60.00°, β = 60.00°, γ = 60.00°
Fractional positions:
Sr1 0.750 0.750 0.750
P1 0.250 0.250 0.250
P2 0.000 0.000 0.000
Ca1 0.500 0.500 0.500

Symmetry: F-43m, No. 216
Energy of formation from the pure elements, eV per atom: -0.0774


no.,total moment (μB/f.u.)
1,0.00
2,0.00
3,0.00
4,0.00
5,0.00
6,0.00
7,0.00
8,0.00
9,0.05
10,0.00
11,3.55
12,0.00
13,0.00
14,0.00
15,0.00
16,0.00
17,0.00
18,1.05
19,0.00
20,0.00
21,0.00
22,0.15
23,0.00
24,0.00